1.
# Pm5Ag2Au2, optimized geometry, DFT PBE
data_Pm5Ag2Au2
_symmetry_space_group_name_H-M 'P 1'
_symmetry_Int_Tables_number 1
_cell_length_a 7.867
_cell_length_b 7.492
_cell_length_c 9.233
_cell_angle_alpha 113.94
_cell_angle_beta 90.00
_cell_angle_gamma 90.00
loop_
_symmetry_equiv_pos_as_xyz
'x,y,z'
loop_
_atom_site_label
_atom_site_type_symbol
_atom_site_fract_x
_atom_site_fract_y
_atom_site_fract_z
_atom_site_occupancy
Pm1 Pm 0.000 0.000 0.000 1
Pm2 Pm 0.500 0.500 0.000 1
Pm3 Pm 0.824 0.812 0.276 1
Pm4 Pm 0.176 0.465 0.276 1
Pm5 Pm 0.324 0.965 0.276 1
Pm6 Pm 0.676 0.312 0.276 1
Pm7 Pm 0.176 0.188 0.724 1
Pm8 Pm 0.824 0.535 0.724 1
Pm9 Pm 0.676 0.035 0.724 1
Pm10 Pm 0.324 0.688 0.724 1
Ag1 Ag 0.000 0.214 0.427 1
Ag2 Ag 0.500 0.714 0.427 1
Ag3 Ag 0.000 0.786 0.573 1
Ag4 Ag 0.500 0.286 0.573 1
Au1 Au 0.635 0.874 0.000 1
Au2 Au 0.365 0.126 0.000 1
Au3 Au 0.135 0.626 0.000 1
Au4 Au 0.865 0.374 0.000 1
# symmetry: No. 64
# calculated formation energy: -426 meV per atom

=====

2.
# Pm3Ag2Au3, optimized geometry, DFT PBE
data_Pm3Ag2Au3
_symmetry_space_group_name_H-M 'P 1'
_symmetry_Int_Tables_number 1
_cell_length_a 5.934
_cell_length_b 8.783
_cell_length_c 8.783
_cell_angle_alpha 120.00
_cell_angle_beta 90.00
_cell_angle_gamma 90.00
loop_
_symmetry_equiv_pos_as_xyz
'x,y,z'
loop_
_atom_site_label
_atom_site_type_symbol
_atom_site_fract_x
_atom_site_fract_y
_atom_site_fract_z
_atom_site_occupancy
Pm1 Pm 0.750 0.286 0.000 1
Pm2 Pm 0.750 0.714 0.714 1
Pm3 Pm 0.750 0.000 0.286 1
Pm4 Pm 0.250 0.714 0.000 1
Pm5 Pm 0.250 0.286 0.286 1
Pm6 Pm 0.250 0.000 0.714 1
Ag1 Ag 0.000 0.333 0.667 1
Ag2 Ag 0.500 0.667 0.333 1
Ag3 Ag 0.000 0.667 0.333 1
Ag4 Ag 0.500 0.333 0.667 1
Au1 Au 0.750 0.624 0.000 1
Au2 Au 0.750 0.376 0.376 1
Au3 Au 0.750 0.000 0.624 1
Au4 Au 0.250 0.376 0.000 1
Au5 Au 0.250 0.624 0.624 1
Au6 Au 0.250 0.000 0.376 1
# symmetry: No. 193
# calculated formation energy: -551 meV per atom
# polymorph energy (0 for the lowest one): 28.9 meV/atom

=====

3.
# PmAg3Au2, optimized geometry, DFT PBE
data_PmAg3Au2
_symmetry_space_group_name_H-M 'P 1'
_symmetry_Int_Tables_number 1
_cell_length_a 4.393
_cell_length_b 7.681
_cell_length_c 9.131
_cell_angle_alpha 121.29
_cell_angle_beta 90.00
_cell_angle_gamma 106.62
loop_
_symmetry_equiv_pos_as_xyz
'x,y,z'
loop_
_atom_site_label
_atom_site_type_symbol
_atom_site_fract_x
_atom_site_fract_y
_atom_site_fract_z
_atom_site_occupancy
Pm1 Pm 0.875 0.750 0.007 1
Pm2 Pm 0.125 0.250 0.993 1
Ag1 Ag 0.269 0.538 0.425 1
Ag2 Ag 0.934 0.867 0.587 1
Ag3 Ag 0.580 0.160 0.686 1
Ag4 Ag 0.420 0.840 0.314 1
Ag5 Ag 0.066 0.133 0.413 1
Ag6 Ag 0.731 0.462 0.575 1
Au1 Au 0.433 0.866 0.808 1
Au2 Au 0.567 0.134 0.192 1
Au3 Au 0.776 0.553 0.223 1
Au4 Au 0.224 0.447 0.777 1
# symmetry: No. 12
# calculated formation energy: -326 meV per atom